Entry 1:
BaSi2Pt: optimized geometry, GGA-PBE.

a b c (Å): 3.399 3.399 7.365
angles (deg): 90.00 90.00 90.00
Atoms (fractional coordinates):
Ba  0.000  0.000  0.498
Si  0.000  0.000  0.977
Si  0.500  0.500  0.178
Pt  0.500  0.500  0.847

Computed properties:
Space group ... P4mm, No. 99
Energy ... -4.895 eV per atom
Size of the total moment ... 0.00 μB/cell



Entry 2:
Ba4Si3Pt: optimized geometry, GGA-PBE.

a b c (Å): 5.052 4.329 11.775
angles (deg): 90.00 90.00 90.00
Atoms (fractional coordinates):
Ba  0.500  0.500  0.355
Ba  0.000  0.000  0.144
Ba  0.000  0.500  0.859
Ba  0.500  0.000  0.641
Si  0.500  0.000  0.959
Si  0.000  0.000  0.441
Si  0.000  0.500  0.557
Pt  0.500  0.500  0.045

Computed properties:
Space group ... Pmm2, No. 25
Energy ... -4.262 eV per atom
Size of the total moment ... 0.00 μB/cell



Entry 3:
BaSi2Pt: optimized geometry, GGA-PBE.

a b c (Å): 4.917 4.917 4.917
angles (deg): 120.01 120.01 89.98
Atoms (fractional coordinates):
Si  0.500  0.500  0.000
Si  0.000  0.000  0.000
Ba  0.250  0.750  0.500
Pt  0.750  0.250  0.500

Computed properties:
Space group ... Fm-3m, No. 225
Energy ... -4.528 eV per atom
Size of the total moment ... 0.00 μB/cell



Entry 4:
BaSi2Pt5: optimized geometry, GGA-PBE.

a b c (Å): 4.006 6.522 6.522
angles (deg): 66.14 72.12 72.12
Atoms (fractional coordinates):
Pt  0.658  0.148  0.536
Pt  0.342  0.852  0.464
Pt  0.658  0.536  0.148
Pt  0.000  0.500  0.500
Pt  0.342  0.464  0.852
Ba  0.000  0.000  0.000
Si  0.763  0.737  0.737
Si  0.237  0.263  0.263

Computed properties:
Space group ... Immm, No. 71
Energy ... -6.137 eV per atom
Size of the total moment ... 0.00 μB/cell



Entry 5:
Ba4Si2Pt: optimized geometry, GGA-PBE.

a b c (Å): 6.343 6.343 8.707
angles (deg): 68.64 68.64 90.00
Atoms (fractional coordinates):
Pt  0.000  0.000  0.000
Si  0.418  0.418  0.165
Si  0.582  0.582  0.835
Ba  0.206  0.206  0.588
Ba  0.500  0.000  0.000
Ba  0.794  0.794  0.412
Ba  0.000  0.500  0.000

Computed properties:
Space group ... I4/mmm, No. 139
Energy ... -3.778 eV per atom
Size of the total moment ... 0.00 μB/cell



Entry 6:
BaSiPt: optimized geometry, GGA-PBE.

a b c (Å): 4.201 4.201 5.101
angles (deg): 90.00 90.00 120.00
Atoms (fractional coordinates):
Ba  0.000  0.000  0.000
Pt  0.667  0.333  0.500
Si  0.333  0.667  0.500

Computed properties:
Space group ... P-6m2, No. 187
Energy ... -5.257 eV per atom
Size of the total moment ... 0.00 μB/cell



Entry 7:
BaSi2Pt4: optimized geometry, GGA-PBE.

a b c (Å): 7.724 7.724 7.368
angles (deg): 37.66 37.66 41.47
Atoms (fractional coordinates):
Pt  0.078  0.591  0.673
Pt  0.591  0.078  0.673
Pt  0.409  0.922  0.327
Pt  0.922  0.409  0.327
Si  0.411  0.411  0.815
Si  0.589  0.589  0.185
Ba  0.000  0.000  0.000

Computed properties:
Space group ... C2/m, No. 12
Energy ... -5.901 eV per atom
Size of the total moment ... 0.00 μB/cell



Entry 8:
BaSi2Pt: optimized geometry, GGA-PBE.

a b c (Å): 5.419 5.419 5.419
angles (deg): 133.07 105.61 92.75
Atoms (fractional coordinates):
Ba  0.509  0.509  0.000
Pt  0.147  0.647  0.500
Si  0.832  0.332  0.500
Si  0.012  0.012  0.000

Computed properties:
Space group ... Imm2, No. 44
Energy ... -4.877 eV per atom
Size of the total moment ... 0.00 μB/cell



Entry 9:
Ba2SiPt: optimized geometry, GGA-PBE.

a b c (Å): 3.871 3.890 9.081
angles (deg): 64.62 90.00 90.00
Atoms (fractional coordinates):
Ba  0.000  0.516  0.483
Ba  0.000  0.984  0.017
Pt  0.500  0.250  0.250
Si  0.500  0.750  0.750

Computed properties:
Space group ... Pmmm, No. 47
Energy ... -4.137 eV per atom
Size of the total moment ... 0.00 μB/cell



Entry 10:
Ba3SiPt: optimized geometry, GGA-PBE.

a b c (Å): 6.017 6.017 6.017
angles (deg): 90.00 90.00 90.00
Atoms (fractional coordinates):
Ba  0.500  0.000  0.000
Ba  0.000  0.500  0.000
Ba  0.000  0.000  0.500
Pt  0.000  0.000  0.000
Si  0.500  0.500  0.500

Computed properties:
Space group ... Pm-3m, No. 221
Energy ... -3.617 eV per atom
Size of the total moment ... 0.00 μB/cell



Entry 11:
BaSi12Pt5: optimized geometry, GGA-PBE.

a b c (Å): 16.714 16.714 6.158
angles (deg): 89.97 89.97 158.75
Atoms (fractional coordinates):
Ba  0.875  0.125  0.000
Ba  0.125  0.875  0.000
Si  0.788  0.707  0.748
Si  0.638  0.359  0.219
Si  0.358  0.916  0.135
Si  0.707  0.788  0.748
Si  0.212  0.293  0.252
Si  0.641  0.362  0.781
Si  0.362  0.641  0.781
Si  0.642  0.084  0.865
Si  0.292  0.211  0.749
Si  0.789  0.708  0.251
Si  0.916  0.358  0.135
Si  0.708  0.789  0.251
Si  0.920  0.642  0.500
Si  0.211  0.292  0.749
Si  0.856  0.420  0.369
Si  0.293  0.212  0.252
Si  0.358  0.080  0.500
Si  0.642  0.920  0.500
Si  0.359  0.638  0.219
Si  0.580  0.144  0.631
Si  0.084  0.642  0.865
Si  0.144  0.580  0.631
Si  0.420  0.856  0.369
Si  0.080  0.358  0.500
Pt  0.000  0.000  0.000
Pt  0.203  0.797  0.500
Pt  0.577  0.423  0.000
Pt  0.076  0.924  0.500
Pt  0.704  0.296  0.000
Pt  0.296  0.704  0.000
Pt  0.924  0.076  0.500
Pt  0.797  0.203  0.500
Pt  0.500  0.500  0.500
Pt  0.423  0.577  0.000

Computed properties:
Space group ... C2/m, No. 12
Energy ... -5.897 eV per atom
Size of the total moment ... 0.00 μB/cell



Entry 12:
BaSi2Pt: optimized geometry, GGA-PBE.

a b c (Å): 3.534 3.534 7.234
angles (deg): 90.00 90.00 101.68
Atoms (fractional coordinates):
Ba  0.500  0.500  0.250
Si  0.000  0.000  0.915
Si  0.000  0.000  0.585
Pt  0.500  0.500  0.750

Computed properties:
Space group ... Cmmm, No. 65
Energy ... -4.946 eV per atom
Size of the total moment ... 0.00 μB/cell



Entry 13:
BaSi2Pt: optimized geometry, GGA-PBE.

a b c (Å): 4.148 4.148 6.710
angles (deg): 72.05 72.05 60.03
Atoms (fractional coordinates):
Pt  0.326  0.326  0.021
Ba  0.506  0.506  0.483
Si  0.961  0.961  0.115
Si  0.707  0.707  0.880

Computed properties:
Space group ... R3m, No. 160
Energy ... -5.350 eV per atom
Size of the total moment ... 0.00 μB/cell



Entry 14:
Ba2SiPt: optimized geometry, GGA-PBE.

a b c (Å): 4.500 5.148 6.091
angles (deg): 65.00 90.00 90.00
Atoms (fractional coordinates):
Pt  0.000  0.666  0.543
Ba  0.000  0.974  0.927
Ba  0.500  0.273  0.330
Si  0.500  0.587  0.701

Computed properties:
Space group ... Amm2, No. 38
Energy ... -4.479 eV per atom
Size of the total moment ... 0.00 μB/cell